Entry 1:
AlFeW2: optimized geometry, GGA-PBE.

a b c (Å): 2.775 2.775 7.338
angles (deg): 90.00 90.00 90.00
Fractional positions:
Al: 0.000 0.000 0.537
W: 0.500 0.500 0.265
W: 0.000 0.000 0.961
Fe: 0.500 0.500 0.737

## Properties
DOS at the Fermi energy in states/eV/f.u.: 3.1
ΔE_f in eV per atom: -0.02

---

Entry 2:
BiRhSe2: optimized geometry, GGA-PBE.

a b c (Å): 7.055 7.055 6.106
angles (deg): 54.71 54.71 90.00
Fractional positions:
Se: 0.178 0.678 0.000
Se: 0.322 0.178 0.000
Se: 0.822 0.322 0.000
Se: 0.678 0.822 0.000
Bi: 0.250 0.250 0.500
Bi: 0.750 0.750 0.500
Rh: 0.250 0.750 0.500
Rh: 0.750 0.250 0.500

## Properties
DOS at the Fermi energy in states/eV/f.u.: 1.2
Uncorrected formation energy in eV per atom: -0.030